(1)
The following is a DFT calculation (meta-GGA SCAN) of CrCo7 at its PBEsol-relaxed geometry.

## Properties
Magnetic moment   8.5 μB/f.u.
Calculated formation energy   114 meV/atom

Cell and atoms, written as CIF:
```
data_CrCo7
_cell_length_a 6.919
_cell_length_b 6.919
_cell_length_c 6.919
_cell_angle_alpha 90.00
_cell_angle_beta 90.00
_cell_angle_gamma 90.00
_symmetry_space_group_name_H-M 'F m -3 m'
_symmetry_Int_Tables_number 225
_symmetry_space_group_name_Hall '-F 4 2 3'
loop_
_atom_site_label
_atom_site_type_symbol
_atom_site_fract_x
_atom_site_fract_y
_atom_site_fract_z
_atom_site_occupancy
Cr1 Cr 0.000 0.000 0.000 1
Co1 Co 0.000 0.000 0.500 1
Co2 Co 0.000 0.250 0.250 1
```

***

(2)
The following is a DFT calculation (meta-GGA SCAN) of Li4MnCo3O8 at its PBEsol-relaxed geometry.

## Properties
Magnetic moment   2.0 μB/f.u.
E_form (uncorrected)   -31.0 eV per formula unit
Energy relative to the lowest polymorph listed for this composition   10 meV per atom

Cell and atoms, written as CIF:
```
data_Li4MnCo3O8
_cell_length_a 5.6509
_cell_length_b 5.6509
_cell_length_c 13.8615
_cell_angle_alpha 90.00
_cell_angle_beta 90.00
_cell_angle_gamma 120.00
_symmetry_space_group_name_H-M 'R -3 m'
_symmetry_Int_Tables_number 166
_symmetry_space_group_name_Hall '-R 3 2"'
loop_
_atom_site_label
_atom_site_type_symbol
_atom_site_fract_x
_atom_site_fract_y
_atom_site_fract_z
_atom_site_occupancy
Li1 Li 0.0000 0.0000 0.0000 1
Li2 Li 0.0000 0.5000 0.0000 1
Mn1 Mn 0.0000 0.0000 0.5000 1
Co1 Co 0.0000 0.5000 0.5000 1
O1 O 0.0000 0.0000 0.2403 1
O2 O 0.0006 0.5003 0.7604 1
```

***

(3)
The following is a DFT calculation (meta-GGA SCAN) of YAlAu at its PBEsol-relaxed geometry.

## Properties
Magnetic moment   0.6 μB/f.u.
Calculated formation energy   -845 meV/atom

Cell and atoms, written as CIF:
```
data_YAlAu
_cell_length_a 6.518
_cell_length_b 6.518
_cell_length_c 6.518
_cell_angle_alpha 90.00
_cell_angle_beta 90.00
_cell_angle_gamma 90.00
_symmetry_space_group_name_H-M 'F -4 3 m'
_symmetry_Int_Tables_number 216
_symmetry_space_group_name_Hall 'F -4 2 3'
loop_
_atom_site_label
_atom_site_type_symbol
_atom_site_fract_x
_atom_site_fract_y
_atom_site_fract_z
_atom_site_occupancy
Y1 Y 0.000 0.000 0.000 1
Al1 Al 0.000 0.000 0.500 1
Au1 Au 0.250 0.250 0.750 1
```

***

no.,uncorrected energy (eV for the cell shown)
1,-554.419
2,-481.663
3,-429.151